Computed, not measured: a geometry-optimized AcCoGe3Ru structure at the PBE-GGA level of DFT.

Calculated values
The space group is Cmcm, No. 63. The calculation puts the uncorrected energy at -6.062 eV per atom. The density of states at the Fermi level comes out at 0.5137 states/eV/atom.

Unit cell a=6.3615 b=6.6064 c=6.7422 alpha=119.34 beta=90.00 gamma=90.00
Sites, in units of the cell vectors:
Ge1 0.7500 0.7609 0.5217
Ge2 0.0000 0.7196 0.0000
Ge3 0.2500 0.2391 0.4783
Ge4 0.5000 0.2804 0.0000
Ge5 0.5000 0.7196 0.0000
Ge6 0.0000 0.2804 0.0000
Ac1 0.7500 0.2440 0.4880
Ac2 0.2500 0.7560 0.5120
Co1 0.7500 0.5769 0.1538
Co2 0.2500 0.4231 0.8462
Ru1 0.2500 0.0423 0.0846
Ru2 0.7500 0.9577 0.9154



Computed, not measured: a geometry-optimized PmPu2N3 structure at the PBE-GGA level of DFT.

Calculated values
The space group is Immm, No. 71. The formation energy (no corrections) comes out at -1.32 eV per atom. The relative energy among the computed polymorphs comes out at 0.0000 eV per atom. The density of states at the Fermi level comes out at 1.7649 states/eV/atom.

Unit cell a=3.5132 b=5.0027 c=6.0947 alpha=114.23 beta=106.75 gamma=90.00
Each line ends with the local moment (μB).
Sites, in units of the cell vectors:
N1 0.8199 0.3199 0.1397  -0.19
N2 0.1801 0.6801 0.8603  -0.19
N3 0.5000 0.0000 0.5000  -0.20
Pu1 0.8344 0.8344 0.1687  4.73
Pu2 0.1656 0.1656 0.8313  4.73
Pm1 0.5000 0.5000 0.5000  0.15



Computed, not measured: a geometry-optimized CeSmO2 structure at the PBE-GGA level of DFT.

Calculated values
The space group is R3m, No. 160. The formation energy (no corrections) comes out at -2.66 eV per atom. The relative energy among the computed polymorphs comes out at 0.1594 eV per atom. The density of states at the Fermi level comes out at 1.0587 states/eV/atom.

Unit cell a=3.4443 b=3.4443 c=6.4567 alpha=74.53 beta=74.53 gamma=60.00
Each line ends with the local moment (μB).
Sites, in units of the cell vectors:
O1 0.0858 0.0858 0.7425  -0.01
O2 0.2470 0.2470 0.2591  -0.01
Ce1 0.6714 0.6714 0.9859  0.89
Sm1 0.4958 0.4958 0.5125  -0.04



Computed, not measured: a geometry-optimized MnMo2Pt structure at the PBE-GGA level of DFT.

Calculated values
The space group is C2/m, No. 12. The relative energy among the computed polymorphs comes out at 0.1507 eV per atom. The density of states at the Fermi level comes out at 1.1139 states/eV/atom.

Unit cell a=4.8685 b=4.8685 c=4.7991 alpha=81.14 beta=81.14 gamma=32.54
Each line ends with the local moment (μB).
Sites, in units of the cell vectors:
Mo1 0.0026 0.0026 0.0021  -0.15
Mo2 0.4974 0.4974 0.4979  -0.15
Pt1 0.7500 0.7500 0.7500  0.06
Mn1 0.2500 0.2500 0.2500  2.81



Computed, not measured: a geometry-optimized BeSnOs structure at the PBE-GGA level of DFT.

Calculated values
The space group is Cmc2_1, No. 36. The relative energy among the computed polymorphs comes out at 0.0520 eV per atom. The density of states at the Fermi level comes out at 0.2021 states/eV/atom.

Unit cell a=3.1638 b=9.6702 c=5.8824 alpha=90.00 beta=90.00 gamma=90.00
Sites, in units of the cell vectors:
Os1 0.0000 0.5519 0.8108
Os2 0.5000 0.9481 0.3108
Os3 0.5000 0.0519 0.8108
Os4 0.0000 0.4481 0.3108
Sn1 0.0000 0.1837 0.1283
Sn2 0.5000 0.3163 0.6283
Sn3 0.0000 0.8163 0.6283
Sn4 0.5000 0.6837 0.1283
Be1 0.0000 0.9179 0.0213
Be2 0.0000 0.0821 0.5213
Be3 0.5000 0.5821 0.5213
Be4 0.5000 0.4179 0.0213



Computed, not measured: a geometry-optimized Ce2DyHo3S6 structure at the PBE-GGA level of DFT.

Calculated values
The space group is C2/m, No. 12. The formation energy (no corrections) comes out at -2.01 eV per atom. The density of states at the Fermi level comes out at 0.9950 states/eV/atom.

Unit cell a=6.7973 b=6.7973 c=6.8502 alpha=99.56 beta=99.56 gamma=120.06
Each line ends with the local moment (μB).
Sites, in units of the cell vectors:
S1 0.0863 0.4145 0.2594  -0.01
S2 0.5855 0.9137 0.7406  -0.01
S3 0.9137 0.5855 0.7406  -0.01
S4 0.7586 0.7586 0.2596  -0.01
S5 0.2414 0.2414 0.7404  -0.01
S6 0.4145 0.0863 0.2594  -0.01
Dy1 0.0000 0.0000 0.0000  0.03
Ho1 0.1669 0.8331 0.5000  0.00
Ho2 0.8331 0.1669 0.5000  0.00
Ho3 0.5000 0.5000 0.5000  0.00
Ce1 0.6664 0.3336 0.0000  0.61
Ce2 0.3336 0.6664 0.0000  0.61



Computed, not measured: a geometry-optimized Tb8CoOs2 structure at the PBE-GGA level of DFT.

Calculated values
The space group is Cm, No. 8. The calculation puts the uncorrected energy at -6.143 eV per atom. The density of states at the Fermi level comes out at 0.9426 states/eV/atom.

Unit cell a=5.9380 b=7.5293 c=7.5293 alpha=112.34 beta=101.07 gamma=101.07
Sites, in units of the cell vectors:
Tb1 0.9939 0.2082 0.7932
Tb2 0.1832 0.3580 0.3580
Tb3 0.5878 0.0839 0.3455
Tb4 0.3804 0.9267 0.6683
Tb5 0.5878 0.3455 0.0839
Tb6 0.7937 0.6425 0.6425
Tb7 0.3804 0.6683 0.9267
Tb8 0.9939 0.7932 0.2082
Co1 0.1386 0.9975 0.9975
Os1 0.4800 0.3155 0.6946
Os2 0.4800 0.6946 0.3155



Computed, not measured: a geometry-optimized Ba2ZrIn2 structure at the PBE-GGA level of DFT.

Calculated values
The space group is P4/mbm, No. 127. The calculation puts the uncorrected energy at -3.564 eV per atom. The density of states at the Fermi level comes out at 1.0102 states/eV/atom.

Unit cell a=7.9808 b=7.9808 c=5.6635 alpha=90.00 beta=90.00 gamma=90.00
Sites, in units of the cell vectors:
In1 0.8614 0.6386 0.0000
In2 0.3614 0.8614 0.0000
In3 0.1386 0.3614 0.0000
In4 0.6386 0.1386 0.0000
Ba1 0.3276 0.1724 0.5000
Ba2 0.1724 0.6724 0.5000
Ba3 0.6724 0.8276 0.5000
Ba4 0.8276 0.3276 0.5000
Zr1 0.0000 0.0000 0.0000
Zr2 0.5000 0.5000 0.0000



Computed, not measured: a geometry-optimized HgGeSe3 structure at the PBE-GGA level of DFT.

Calculated values
The space group is Pm-3m, No. 221. The formation energy (no corrections) comes out at 0.70 eV per atom. The relative energy among the computed polymorphs comes out at 0.8619 eV per atom. The density of states at the Fermi level comes out at 0.6615 states/eV/atom.

Unit cell a=5.2182 b=5.2182 c=5.2182 alpha=90.00 beta=90.00 gamma=90.00
Sites, in units of the cell vectors:
Ge1 0.5000 0.5000 0.5000
Se1 0.0000 0.0000 0.5000
Se2 0.0000 0.5000 0.0000
Se3 0.5000 0.0000 0.0000
Hg1 0.0000 0.0000 0.0000



Computed, not measured: a geometry-optimized CaAc4Nd7 structure at the PBE-GGA level of DFT.

Calculated values
The space group is P-1, No. 2. The calculation puts the uncorrected energy at -4.145 eV per atom. The density of states at the Fermi level comes out at 1.7077 states/eV/atom.

Unit cell a=6.7353 b=12.8754 c=6.7984 alpha=82.33 beta=84.58 gamma=54.93
Sites, in units of the cell vectors:
Nd1 0.9040 0.3218 0.8462
Nd2 0.5000 0.0000 0.0000
Nd3 0.2611 0.5620 0.6678
Nd4 0.0960 0.6782 0.1538
Nd5 0.8184 0.8873 0.5423
Nd6 0.1816 0.1127 0.4577
Nd7 0.7389 0.4380 0.3322
Ac1 0.4482 0.7794 0.4027
Ac2 0.3350 0.3409 0.1000
Ac3 0.5518 0.2206 0.5973
Ac4 0.6650 0.6591 0.9000
Ca1 0.0000 0.0000 0.0000